Entry 1:
The following is a DFT calculation (PBE) of an optimized crystal structure of Y5Tm2Th4.

Calculated values
Calculated volume = 351.6 Å³/cell
Energy above the most stable polymorph in this dataset = 0.000 eV per atom
Total magnetization = 0.000 μB per cell
ΔH_f (0 K) = 0.023 eV per atom

a = 3.5800 Å, b = 8.6718 Å, c = 11.8450 Å
α = 104.51°, β = 98.69°, γ = 90.00°
Positions (direct):
Y 0.1368 0.0945 0.2736
Y 0.8632 0.9055 0.7264
Y 0.2258 0.8100 0.4516
Y 0.5000 0.0000 0.0000
Y 0.7742 0.1900 0.5484
Tm 0.5887 0.7168 0.1773
Tm 0.4113 0.2832 0.8227
Th 0.6819 0.4519 0.3638
Th 0.0461 0.3654 0.0923
Th 0.3181 0.5481 0.6362
Th 0.9539 0.6346 0.9077

Entry 2:
The following is a DFT calculation (PBE) of an optimized crystal structure of YTm6Th.

Calculated values
Calculated volume = 245.5 Å³/cell
Energy above the most stable polymorph in this dataset = 0.000 eV per atom
Total magnetization = 0.001 μB per cell
ΔH_f (0 K) = 0.034 eV per atom

a = 4.9812 Å, b = 4.9812 Å, c = 9.8931 Å
α = 90.00°, β = 90.00°, γ = 90.00°
Positions (direct):
Y 0.0000 0.0000 0.0000
Tm 0.5000 0.5000 0.0000
Tm 0.5000 0.5000 0.5000
Tm 0.5000 0.0000 0.2522
Tm 0.5000 0.0000 0.7478
Tm 0.0000 0.5000 0.2522
Tm 0.0000 0.5000 0.7478
Th 0.0000 0.0000 0.5000

Entry 3:
The following is a DFT calculation (PBE) of an optimized crystal structure of Y5Tm3Th.

Calculated values
Calculated volume = 584.0 Å³/cell
Total magnetization = 0.000 μB per cell
ΔH_f (0 K) = 0.317 eV per atom

a = 7.7803 Å, b = 7.7803 Å, c = 11.1057 Å
α = 110.50°, β = 110.50°, γ = 90.00°
Positions (direct):
Y 0.0741 0.5741 0.7390
Y 0.6649 0.1649 0.7390
Y 0.1649 0.0741 0.7390
Y 0.5741 0.6649 0.7390
Y 0.9259 0.4259 0.2610
Y 0.3351 0.8351 0.2610
Y 0.8351 0.9259 0.2610
Y 0.4259 0.3351 0.2610
Y 0.5000 0.5000 0.0000
Y 0.0000 0.0000 0.0000
Tm 0.6300 0.1300 0.0000
Tm 0.3700 0.8700 0.0000
Tm 0.8700 0.6300 0.0000
Tm 0.1300 0.3700 0.0000
Tm 0.2500 0.2500 0.5000
Tm 0.7500 0.7500 0.5000
Th 0.7500 0.2500 0.5000
Th 0.2500 0.7500 0.5000